# 1
# Ca2Ni (PBE, optimized geometry)
# - total moment (μB per cell) = 0.0
# - energy (eV per formula unit) = -8.4
# - formation enthalpy at 0 K (eV per atom) = 0.46
data_Ca2Ni
_chemical_formula_sum 'Ca2 Ni1'
_space_group_name_H-M_alt 'P 1'
_space_group_IT_number 1
_space_group_name_Hall 'P 1'
_cell_length_a 5.100
_cell_length_b 5.100
_cell_length_c 3.193
_cell_angle_alpha 90.00
_cell_angle_beta 90.00
_cell_angle_gamma 120.00
loop_
_atom_site_label
_atom_site_type_symbol
_atom_site_fract_x
_atom_site_fract_y
_atom_site_fract_z
Ca1 Ca 0.667 0.333 0.000
Ca2 Ca 0.333 0.667 0.000
Ni1 Ni 0.000 0.000 0.500

---

# 2
# ErThGa2Au2 (PBE, optimized geometry)
# - total moment (μB per cell) = 0.0
# - energy (eV per formula unit) = -29.0
# - formation enthalpy at 0 K (eV per atom) = -0.73
data_ErThGa2Au2
_chemical_formula_sum 'Er1 Th1 Ga2 Au2'
_space_group_name_H-M_alt 'P 1'
_space_group_IT_number 1
_space_group_name_Hall 'P 1'
_cell_length_a 4.523
_cell_length_b 4.523
_cell_length_c 7.422
_cell_angle_alpha 90.00
_cell_angle_beta 90.00
_cell_angle_gamma 120.00
loop_
_atom_site_label
_atom_site_type_symbol
_atom_site_fract_x
_atom_site_fract_y
_atom_site_fract_z
Er1 Er 0.000 0.000 0.500
Th1 Th 0.000 0.000 0.000
Ga1 Ga 0.667 0.333 0.256
Ga2 Ga 0.333 0.667 0.744
Au1 Au 0.667 0.333 0.721
Au2 Au 0.333 0.667 0.279

---

# 3
# Pu3Pd2Pt3 (PBE, optimized geometry)
# - total moment (μB per cell) = 32.7
# - energy (eV per formula unit) = -76.2
# - formation enthalpy at 0 K (eV per atom) = -0.58
data_Pu3Pd2Pt3
_chemical_formula_sum 'Pu6 Pd4 Pt6'
_space_group_name_H-M_alt 'P 1'
_space_group_IT_number 1
_space_group_name_Hall 'P 1'
_cell_length_a 5.599
_cell_length_b 8.272
_cell_length_c 8.272
_cell_angle_alpha 120.00
_cell_angle_beta 90.00
_cell_angle_gamma 90.00
loop_
_atom_site_label
_atom_site_type_symbol
_atom_site_fract_x
_atom_site_fract_y
_atom_site_fract_z
Pu1 Pu 0.750 0.275 0.000
Pu2 Pu 0.750 0.725 0.725
Pu3 Pu 0.750 0.000 0.275
Pu4 Pu 0.250 0.725 0.000
Pu5 Pu 0.250 0.275 0.275
Pu6 Pu 0.250 0.000 0.725
Pd1 Pd 0.000 0.333 0.667
Pd2 Pd 0.500 0.667 0.333
Pd3 Pd 0.000 0.667 0.333
Pd4 Pd 0.500 0.333 0.667
Pt1 Pt 0.750 0.612 0.000
Pt2 Pt 0.750 0.388 0.388
Pt3 Pt 0.750 0.000 0.612
Pt4 Pt 0.250 0.388 0.000
Pt5 Pt 0.250 0.612 0.612
Pt6 Pt 0.250 0.000 0.388

---

# 4
# LiGaGeS4 (PBE, optimized geometry)
# - total moment (μB per cell) = 0.0
# - energy (eV per formula unit) = -30.7
# - E_form (uncorrected) (meV/atom) = -667
data_LiGaGeS4
_chemical_formula_sum 'Li2 Ga2 Ge2 S8'
_space_group_name_H-M_alt 'P 1'
_space_group_IT_number 1
_space_group_name_Hall 'P 1'
_cell_length_a 6.680
_cell_length_b 6.680
_cell_length_c 7.208
_cell_angle_alpha 90.00
_cell_angle_beta 90.00
_cell_angle_gamma 113.71
loop_
_atom_site_label
_atom_site_type_symbol
_atom_site_fract_x
_atom_site_fract_y
_atom_site_fract_z
Li1 Li 0.500 0.500 0.500
Li2 Li 0.500 0.500 0.000
Ga1 Ga 0.862 0.138 0.250
Ga2 Ga 0.138 0.862 0.750
Ge1 Ge 0.139 0.861 0.250
Ge2 Ge 0.861 0.139 0.750
S1 S 0.227 0.236 0.750
S2 S 0.764 0.773 0.750
S3 S 0.739 0.261 0.995
S4 S 0.739 0.261 0.505
S5 S 0.261 0.739 0.005
S6 S 0.261 0.739 0.495
S7 S 0.773 0.764 0.250
S8 S 0.236 0.227 0.250